[1]
TmPuGaAg | PBE-GGA | optimized geometry

Cell and atoms, written as POSCAR:
```
TmPuGaAg
1.0
0.0000 3.6075 3.6075
3.6075 0.0000 3.6075
3.6075 3.6075 0.0000
Tm Pu Ga Ag
1 1 1 1
Cartesian
0.0000 0.0000 0.0000
3.6075 3.6075 3.6075
5.4112 5.4112 5.4112
1.8037 1.8037 1.8037
```

Results
Formation energy, eV/atom: -0.236
M_tot, μB/cell: 5.6

[2]
TbGa2SiNi2 | PBE-GGA | optimized geometry

Cell and atoms, written as POSCAR:
```
TbGa2SiNi2
1.0
4.2871 0.0000 0.0000
0.0000 4.2871 0.0000
0.0000 0.0000 5.4812
Tb Ga Si Ni
1 2 1 2
Cartesian
0.0000 0.0000 0.0000
2.1435 2.1435 1.2909
2.1435 2.1435 4.1903
0.0000 0.0000 2.7406
0.0000 2.1435 2.7406
2.1435 0.0000 2.7406
```

Results
Electronic total energy, eV/atom: -5.020
M_tot, μB/cell: 0.0

[3]
Sr3TlO | PBE-GGA | optimized geometry

Cell and atoms, written as POSCAR:
```
Sr3TlO
1.0
7.2307 0.0000 0.0000
-1.2028 7.3008 0.0000
-3.3464 -1.0634 6.8982
Sr Tl O
6 2 2
Cartesian
-1.2770 1.3483 2.3386
-2.3767 1.8307 6.4482
1.1690 6.1395 1.5583
1.5125 0.0979 5.3399
5.0582 4.4067 0.4499
3.9585 4.8892 4.5596
0.1279 3.9259 4.2665
2.5536 2.3115 2.6317
-3.3205 4.0383 6.7263
6.0020 2.1991 0.1719
```

Results
Electronic total energy, eV/atom: -3.693
M_tot, μB/cell: 0.0

[4]
Co4Si | PBE-GGA | optimized geometry

Cell and atoms, written as POSCAR:
```
Co4Si
1.0
4.3087 0.0000 0.0000
-2.1470 6.1907 0.0000
-0.0753 -2.3517 8.0717
Co Si
16 4
Cartesian
-0.7531 1.3003 3.0048
-1.4475 5.0056 1.0234
-0.7401 1.3278 7.0866
0.6791 -1.1562 5.0231
-0.7417 3.7620 3.0481
0.6870 1.3193 0.9651
-0.7583 3.8109 7.0695
0.6704 1.3232 5.0547
1.4160 2.5159 3.0170
2.8447 0.0281 1.0021
1.3994 2.5197 7.1066
2.8281 0.0770 5.0235
1.4073 4.9952 3.0486
2.8265 2.5112 0.9851
3.5339 -1.1666 7.0483
2.8395 2.5387 5.0669
1.3847 0.0922 3.0128
0.6797 3.7747 1.0827
1.4067 0.0644 6.9889
0.7017 3.7468 5.0588
```

Results
Energy relative to the lowest polymorph listed for this composition, eV per atom: 0.000
M_tot, μB/cell: 19.4

[5]
Tb2PuGa | PBE-GGA | optimized geometry

Cell and atoms, written as POSCAR:
```
Tb2PuGa
1.0
0.0000 3.7304 3.7304
3.7304 0.0000 3.7304
3.7304 3.7304 0.0000
Tb Pu Ga
2 1 1
Cartesian
1.8652 1.8652 1.8652
5.5956 5.5956 5.5956
0.0000 0.0000 0.0000
3.7304 3.7304 3.7304
```

Results
Formation energy, eV/atom: -0.026
Energy relative to the lowest polymorph listed for this composition, eV per atom: 0.169
M_tot, μB/cell: 6.4

[6]
Ge5Pb3Au12 | PBE-GGA | optimized geometry

Cell and atoms, written as POSCAR:
```
Ge5Pb3Au12
1.0
-7.8890 7.8890 7.8890
7.8890 -7.8890 7.8890
7.8890 7.8890 -7.8890
Ge Pb Au
20 12 48
Cartesian
0.0000 0.0000 0.0000
3.9445 3.9445 -3.9445
3.9445 -3.9445 3.9445
7.8890 0.0000 0.0000
11.8335 1.9723 0.0000
7.8890 -3.9445 5.9168
5.9168 7.8890 -3.9445
5.9168 0.0000 3.9445
3.9445 5.9168 0.0000
7.8890 3.9445 1.9723
-3.9445 3.9445 3.9445
0.0000 7.8890 0.0000
0.0000 0.0000 7.8890
3.9445 3.9445 3.9445
0.0000 3.9445 5.9168
3.9445 1.9723 7.8890
1.9723 7.8890 3.9445
1.9723 0.0000 11.8335
0.0000 11.8335 1.9723
-3.9445 5.9168 7.8890
3.9445 1.9723 0.0000
7.8890 3.9445 -1.9723
1.9723 0.0000 3.9445
9.8613 0.0000 3.9445
0.0000 3.9445 1.9723
3.9445 -1.9723 7.8890
3.9445 9.8613 0.0000
7.8890 3.9445 5.9168
-1.9723 7.8890 3.9445
5.9168 7.8890 3.9445
0.0000 3.9445 9.8613
3.9445 5.9168 7.8890
2.3082 -0.4093 1.0860
9.5254 5.0305 -4.3538
7.4797 -1.0860 2.3082
12.2428 -1.6364 2.8585
10.1972 0.4093 1.0860
9.5254 -2.8585 4.3538
1.0860 2.3082 -0.4093
10.7475 3.5352 -1.6364
5.0305 4.3538 -1.6364
6.8030 2.3082 0.4093
-0.4093 1.0860 2.3082
4.3538 -1.6364 5.0305
7.4797 6.8030 -2.3082
4.3538 1.6364 2.8585
6.8030 -2.3082 7.4797
5.0305 -4.3538 9.5254
2.8585 4.3538 1.6364
8.9751 5.5809 0.4093
2.3082 7.4797 -1.0860
9.5254 2.8585 3.5352
4.3538 9.5254 -2.8585
7.4797 1.0860 5.5809
1.6364 2.8585 4.3538
2.3082 0.4093 6.8030
5.5809 7.4797 1.0860
6.2527 5.0305 3.5352
0.4093 6.8030 2.3082
3.5352 -1.6364 10.7475
-1.6364 5.0305 4.3538
5.5809 0.4093 8.9751
-1.0860 2.3082 7.4797
5.0305 3.5352 6.2527
2.8585 12.2428 -1.6364
1.0860 10.1972 0.4093
3.5352 6.2527 5.0305
0.4093 1.0860 10.1972
3.5352 9.5254 2.8585
8.2983 6.8030 5.5809
1.0860 5.5809 7.4797
2.8585 3.5352 9.5254
-2.8585 4.3538 9.5254
6.8030 5.5809 8.2983
-1.6364 10.7475 3.5352
-2.3082 7.4797 6.8030
-4.3538 9.5254 5.0305
0.4093 8.9751 5.5809
-1.6364 2.8585 12.2428
5.5809 8.2983 6.8030
```

Results
Formation energy, eV/atom: 0.141
M_tot, μB/cell: 0.0

[7]
Tm2AlTl3S6 | PBE-GGA | optimized geometry

Cell and atoms, written as POSCAR:
```
Tm2AlTl3S6
1.0
3.3571 -5.7930 0.0000
3.3571 5.7930 0.0000
-2.2328 0.0000 7.5141
Tm Al Tl S
2 1 3 6
Cartesian
3.3571 3.8666 0.0000
3.3571 -3.8666 0.0000
3.3571 0.0000 0.0000
-1.1164 0.0000 3.7571
2.2407 1.9917 3.7571
2.2407 -1.9917 3.7571
0.0924 1.7753 6.1311
1.2747 0.0000 1.4491
0.0924 -1.7753 6.1311
4.3890 1.7753 1.3831
3.2067 0.0000 6.0650
4.3890 -1.7753 1.3831
```

Results
Electronic total energy, eV/atom: -4.934
M_tot, μB/cell: 0.0

[8]
Ac2SbPd | PBE-GGA | optimized geometry

Cell and atoms, written as POSCAR:
```
Ac2SbPd
1.0
0.0000 3.9660 3.9660
3.9660 0.0000 3.9660
3.9660 3.9660 0.0000
Ac Sb Pd
2 1 1
Cartesian
1.9830 1.9830 1.9830
5.9490 5.9490 5.9490
0.0000 0.0000 0.0000
3.9660 3.9660 3.9660
```

Results
Energy relative to the lowest polymorph listed for this composition, eV per atom: 0.149
M_tot, μB/cell: 0.9

[9]
MnCr2H | PBE-GGA | optimized geometry

Cell and atoms, written as POSCAR:
```
MnCr2H
1.0
-2.6532 2.6532 2.7073
2.6532 -2.6532 2.7073
2.6532 2.6532 -2.7073
Mn Cr H
2 4 2
Cartesian
0.0000 0.0000 0.0000
0.0000 2.6532 1.3536
1.3266 -0.9034 2.0305
1.7498 1.3266 0.6768
1.3266 3.5567 -0.6768
0.9034 1.3266 3.3841
2.6532 0.0000 1.3536
0.0000 0.0000 2.7073
```

Results
Energy relative to the lowest polymorph listed for this composition, eV per atom: 0.314
M_tot, μB/cell: 0.0

[10]
Ba3PmGe4 | PBE-GGA | optimized geometry

Cell and atoms, written as POSCAR:
```
Ba3PmGe4
1.0
-2.4906 3.3255 8.8515
2.4906 -3.3255 8.8515
2.4906 3.3255 -8.8515
Ba Pm Ge
3 1 4
Cartesian
0.0000 0.0000 0.0000
2.4906 0.0000 5.4541
0.0000 3.3255 3.3975
0.0000 0.0000 8.8515
2.4906 1.2058 -2.1265
2.4906 1.2058 2.1265
0.0000 2.1198 6.7251
0.0000 2.1198 10.9780
```

Results
Formation energy, eV/atom: -0.426
M_tot, μB/cell: 0.3

[11]
Cd3BiO6 | PBE-GGA | optimized geometry

Cell and atoms, written as POSCAR:
```
Cd3BiO6
1.0
4.7575 2.7468 3.8500
-4.7575 2.7468 3.8500
0.0000 -5.4935 3.8500
Cd Bi O
6 2 12
Cartesian
-2.4401 -2.4109 5.2562
-3.3080 0.9078 6.2939
0.8678 -3.3187 6.2939
-0.8678 3.3187 5.2562
3.3080 -0.9078 5.2562
2.4401 2.4109 6.2938
0.0000 0.0000 0.0000
0.0000 0.0000 5.7750
-4.1531 -1.2091 6.3266
-1.0295 -4.2013 5.2235
-1.8368 -0.2494 4.6752
-3.1236 2.9922 5.2235
-0.7024 -1.7154 6.8749
1.1344 -1.4660 4.6752
-1.1344 1.4660 6.8749
0.7024 1.7154 4.6752
3.1236 -2.9922 6.3266
1.8368 0.2494 6.8749
1.0295 4.2013 6.3266
4.1532 1.2090 5.2235
```

Results
Electronic total energy, eV/atom: -4.513
M_tot, μB/cell: 2.2

[12]
YTa2P | PBE-GGA | optimized geometry

Cell and atoms, written as POSCAR:
```
YTa2P
1.0
-1.9860 1.9860 10.2536
1.9860 -1.9860 10.2536
1.9860 1.9860 -10.2536
Y Ta P
2 4 2
Cartesian
0.0000 0.0000 0.0000
0.0000 1.9860 5.1268
0.9930 1.0447 -2.5634
2.9272 0.9930 2.5634
0.9930 0.9413 7.6902
-0.9413 0.9930 12.8170
1.9860 0.0000 5.1268
0.0000 0.0000 10.2536
```

Results
Formation energy, eV/atom: 0.148
M_tot, μB/cell: 0.0